1.
# PBE NiHgAu, optimized geometry
data_NiHgAu
_cell_length_a 4.131
_cell_length_b 6.356
_cell_length_c 8.523
_cell_angle_alpha 90.00
_cell_angle_beta 90.00
_cell_angle_gamma 90.00
_symmetry_space_group_name_H-M 'P 1'
_symmetry_Int_Tables_number 1
loop_
_symmetry_equiv_pos_as_xyz
'x,y,z'
loop_
_atom_site_label
_atom_site_type_symbol
_atom_site_fract_x
_atom_site_fract_y
_atom_site_fract_z
_atom_site_occupancy
Hg1 Hg 0.750 0.704 0.619 1
Hg2 Hg 0.250 0.204 0.881 1
Hg3 Hg 0.250 0.296 0.381 1
Hg4 Hg 0.750 0.796 0.119 1
Ni1 Ni 0.250 0.505 0.099 1
Ni2 Ni 0.250 0.995 0.599 1
Ni3 Ni 0.750 0.495 0.901 1
Ni4 Ni 0.750 0.005 0.401 1
Au1 Au 0.750 0.246 0.143 1
Au2 Au 0.250 0.746 0.357 1
Au3 Au 0.750 0.254 0.643 1
Au4 Au 0.250 0.754 0.857 1
# - V (A^3/atom) = 18.649
# - formation enthalpy at 0 K (meV per atom) = 134
# - energy above the lowest structure with this stoichiometry (eV per formula unit) = 0.00

2.
# PBE PrSmNiAu, optimized geometry
data_PrSmNiAu
_cell_length_a 3.934
_cell_length_b 4.630
_cell_length_c 5.709
_cell_angle_alpha 90.00
_cell_angle_beta 110.16
_cell_angle_gamma 90.00
_symmetry_space_group_name_H-M 'P 1'
_symmetry_Int_Tables_number 1
loop_
_symmetry_equiv_pos_as_xyz
'x,y,z'
loop_
_atom_site_label
_atom_site_type_symbol
_atom_site_fract_x
_atom_site_fract_y
_atom_site_fract_z
_atom_site_occupancy
Au1 Au 0.576 0.500 0.151 1
Ni1 Ni 0.420 0.000 0.840 1
Pr1 Pr 0.142 0.000 0.284 1
Sm1 Sm 0.863 0.500 0.725 1
# - V (A^3/atom) = 24.403
# - formation enthalpy at 0 K (meV per atom) = -537

3.
# PBE SnHN2O, optimized geometry
data_SnHN2O
_cell_length_a 3.100
_cell_length_b 3.100
_cell_length_c 4.766
_cell_angle_alpha 90.00
_cell_angle_beta 90.00
_cell_angle_gamma 90.00
_symmetry_space_group_name_H-M 'P 1'
_symmetry_Int_Tables_number 1
loop_
_symmetry_equiv_pos_as_xyz
'x,y,z'
loop_
_atom_site_label
_atom_site_type_symbol
_atom_site_fract_x
_atom_site_fract_y
_atom_site_fract_z
_atom_site_occupancy
N1 N 0.500 0.000 0.000 1
N2 N 0.000 0.500 0.000 1
O1 O 0.000 0.000 0.500 1
Sn1 Sn 0.500 0.500 0.500 1
H1 H 0.000 0.000 0.000 1
# - E (eV per atom) = -4.5290
# - V (A^3/atom) = 9.163

4.
# PBE AlZn2Cu, optimized geometry
data_AlZn2Cu
_cell_length_a 3.801
_cell_length_b 3.801
_cell_length_c 9.256
_cell_angle_alpha 78.15
_cell_angle_beta 78.15
_cell_angle_gamma 90.00
_symmetry_space_group_name_H-M 'P 1'
_symmetry_Int_Tables_number 1
loop_
_symmetry_equiv_pos_as_xyz
'x,y,z'
loop_
_atom_site_label
_atom_site_type_symbol
_atom_site_fract_x
_atom_site_fract_y
_atom_site_fract_z
_atom_site_occupancy
Zn1 Zn 0.636 0.125 0.250 1
Zn2 Zn 0.114 0.625 0.250 1
Zn3 Zn 0.875 0.886 0.750 1
Zn4 Zn 0.375 0.364 0.750 1
Al1 Al 0.500 0.500 0.000 1
Al2 Al 0.250 0.750 0.500 1
Cu1 Cu 0.000 0.000 0.000 1
Cu2 Cu 0.750 0.250 0.500 1
# - V (A^3/atom) = 15.996
# - formation enthalpy at 0 K (meV per atom) = 120